The following is a GGA+U calculation of a relaxed CaCo2O5 crystal, from Alexandria via LeMat-Bulk.

abc: 3.4920 11.2639 5.0945
angles: 90.00 90.00 90.00
Closest atoms and distances in Å follow each position.
Sites, in units of the cell vectors:
Ca 0.2500 0.2500 0.1155  8 O 2.41-2.53
Ca 0.7500 0.7500 0.8845  8 O 2.41-2.53
Co 0.2500 0.5972 0.4141  3 O 1.69-1.88
Co 0.2500 0.9028 0.4141  3 O 1.69-1.88
Co 0.7500 0.0972 0.5859  3 O 1.69-1.88
Co 0.7500 0.4028 0.5859  3 O 1.69-1.88
O 0.2500 0.0700 0.4138  3 Co 1.88-1.98
O 0.2500 0.4300 0.4138  3 Co 1.88-1.98
O 0.2500 0.6304 0.0915  1 Co 1.69
O 0.2500 0.7500 0.5575  2 Co 1.87
O 0.2500 0.8696 0.0915  1 Co 1.69
O 0.7500 0.1304 0.9085  1 Co 1.69
O 0.7500 0.2500 0.4425  2 Co 1.87
O 0.7500 0.3696 0.9085  1 Co 1.69
O 0.7500 0.5700 0.5862  3 Co 1.88-1.98
O 0.7500 0.9300 0.5862  3 Co 1.88-1.98

## Properties
- relative energy among the computed polymorphs (eV/f.u.) = 0.00
- density (g/cm³) = 3.94
- total magnetization (μB/f.u.) = 5.99
- total DFT energy (no corrections) (eV/atom) = -5.88